[1]
# Pu3Mg2Ge3

Crystalline Pu3Mg2Ge3 at its relaxed geometry (PBE, Alexandria).

Cell: 4.028 4.459 10.305 Å, 102.49 101.27 90.00°
Each line ends with the local moment (μB).
Fractional coordinates of all 8 atoms:
Pu 0.615 0.615 0.230  5.30
Pu 0.385 0.385 0.770  5.30
Pu 0.500 0.000 0.000  5.44
Ge 0.000 0.500 0.000  -0.18
Ge 0.849 0.849 0.698  -0.10
Ge 0.151 0.151 0.302  -0.10
Mg 0.249 0.749 0.499  0.00
Mg 0.751 0.251 0.501  0.00

Symmetry ... Immm (71)
ΔH_f (0 K) ... -0.3061 eV per atom

[2]
# Y2HgC2

Crystalline Y2HgC2 at its relaxed geometry (PBE, Alexandria).

Cell: 3.874 6.872 7.852 Å, 108.99 104.28 90.00°
Fractional coordinates of all 10 atoms:
C 0.099 0.524 0.449
C 0.901 0.476 0.551
C 0.350 0.024 0.449
C 0.650 0.976 0.551
Y 0.498 0.622 0.305
Y 0.192 0.878 0.695
Y 0.808 0.122 0.305
Y 0.502 0.378 0.695
Hg 0.040 0.250 0.000
Hg 0.960 0.750 0.000

Symmetry ... C2/c (15)
ΔH_f (0 K) ... -0.3592 eV per atom

[3]
# Mn2GaIr

Crystalline Mn2GaIr at its relaxed geometry (PBE, Alexandria).

Cell: 3.891 3.717 3.717 Å, 90.00 90.00 90.00°
Each line ends with the local moment (μB).
Fractional coordinates of all 4 atoms:
Mn 0.000 0.000 0.500  2.61
Mn 0.000 0.500 0.000  2.61
Ga 0.500 0.000 0.000  -0.09
Ir 0.500 0.500 0.500  0.17

Symmetry ... P4/mmm (123)
ΔH_f (0 K) ... -0.1689 eV per atom

[4]
# SiGe2Bi

Crystalline SiGe2Bi at its relaxed geometry (PBE, Alexandria).

Cell: 6.186 6.186 7.281 Å, 64.86 64.86 90.00°
Fractional coordinates of all 8 atoms:
Bi 0.000 0.000 0.000
Bi 0.750 0.250 0.500
Ge 0.875 0.817 0.750
Ge 0.375 0.433 0.750
Ge 0.183 0.625 0.250
Ge 0.567 0.125 0.250
Si 0.250 0.750 0.500
Si 0.500 0.500 0.000

Symmetry ... I-42d (122)
Energy relative to the elements, uncorrected ... 235 meV per atom

[5]
# Dy3GaB2Pt8

Crystalline Dy3GaB2Pt8 at its relaxed geometry (PBE, Alexandria).

Cell: 5.453 5.453 9.480 Å, 90.00 90.00 120.00°
Fractional coordinates of all 14 atoms:
B 0.333 0.667 0.128
B 0.667 0.333 0.872
Pt 0.334 0.167 0.720
Pt 0.667 0.333 0.081
Pt 0.833 0.167 0.720
Pt 0.167 0.334 0.280
Pt 0.833 0.666 0.720
Pt 0.333 0.667 0.919
Pt 0.167 0.833 0.280
Pt 0.666 0.833 0.280
Dy 0.333 0.667 0.589
Dy 0.667 0.333 0.411
Dy 0.000 0.000 0.000
Ga 0.000 0.000 0.500

Symmetry ... P-3m1 (164)
ΔH_f (0 K) ... -0.7883 eV per atom

[6]
# CsRb2Pb

Crystalline CsRb2Pb at its relaxed geometry (PBE, Alexandria).

Cell: 4.822 4.822 10.983 Å, 90.00 90.00 90.00°
Fractional coordinates of all 4 atoms:
Cs 0.500 0.500 0.500
Rb 0.000 0.000 0.822
Rb 0.000 0.000 0.178
Pb 0.500 0.500 0.000

Symmetry ... P4/mmm (123)
ΔH_f (0 K) ... 0.0479 eV per atom

[7]
# TiAlH

Crystalline TiAlH at its relaxed geometry (PBE, Alexandria).

Cell: 4.793 2.879 10.660 Å, 90.00 90.00 90.00°
Fractional coordinates of all 12 atoms:
H 0.000 0.750 0.250
H 0.500 0.250 0.750
H 0.000 0.250 0.750
H 0.500 0.750 0.250
Ti 0.750 0.250 0.196
Ti 0.250 0.750 0.804
Ti 0.250 0.250 0.304
Ti 0.750 0.750 0.696
Al 0.250 0.750 0.535
Al 0.750 0.250 0.465
Al 0.250 0.250 0.035
Al 0.750 0.750 0.965

Symmetry ... Pnma (62)
Uncorrected energy ... -5.191 eV/atom

[8]
# Tc2NiOs

Crystalline Tc2NiOs at its relaxed geometry (PBE, Alexandria).

Cell: 4.634 4.634 4.661 Å, 80.82 80.82 33.90°
Fractional coordinates of all 4 atoms:
Os 0.749 0.749 0.751
Tc 0.002 0.002 0.991
Tc 0.250 0.250 0.261
Ni 0.500 0.500 0.497

Symmetry ... Cm (8)
ΔH_f (0 K) ... 0.0889 eV per atom